This record from the Alexandria database describes a relaxed Ba5In crystal. The functional is PBEsol.

a = 4.2619 Å, b = 4.2619 Å, c = 16.8953 Å
α = 90.00°, β = 90.00°, γ = 90.00°
Space group P4/mmm (No. 123)
Inequivalent atoms, fractional coordinates:
Ba 0.0000 0.0000 0.0000
Ba 0.0000 0.0000 0.3855
Ba 0.5000 0.5000 0.1876
In 0.5000 0.5000 0.5000

Summary:
For the mass density, the calculation gives 4.337 g cm⁻³. The value obtained for the total DFT energy (no corrections) is -14.51 eV for the cell shown. As for the density of states at the Fermi level: 9.68 states/eV/f.u.

***

This record from the Alexandria database describes a relaxed BiSe2O crystal. The functional is PBEsol.

a = 6.7745 Å, b = 6.7745 Å, c = 6.7745 Å
α = 90.00°, β = 90.00°, γ = 90.00°
Space group Fm-3m (No. 225)
Inequivalent atoms, fractional coordinates:
Bi 0.0000 0.0000 0.0000
Se 0.2500 0.2500 0.2500
O 0.0000 0.0000 0.5000

Summary:
The value obtained for the raw formation energy is 1.7 eV/f.u. For the mass density, the calculation gives 8.180 g cm⁻³. As for the density of states at the Fermi level: 4.54 states/eV/f.u.